[1]
Below is a relaxed Hg2SbPd2 crystal, with properties calculated at the PBE-GGA level.

POSCAR file:
```
Hg2SbPd2
1.0
8.1558 0.0000 0.0000
0.0000 8.1558 0.0000
0.0000 0.0000 3.0655
Hg Sb Pd
4 2 4
direct
0.1326 0.3674 0.0000
0.3674 0.8674 0.0000
0.6326 0.1326 0.0000
0.8674 0.6326 0.0000
0.0000 0.0000 0.0000
0.5000 0.5000 0.0000
0.1645 0.6645 0.5000
0.3355 0.1645 0.5000
0.6645 0.8355 0.5000
0.8355 0.3355 0.5000
```

* calculated total energy: -30.50 eV for the cell shown

[2]
Below is a relaxed TlSe2S crystal, with properties calculated at the PBE-GGA level.

POSCAR file:
```
TlSe2S
1.0
5.9438 0.0000 0.0000
0.0000 5.9438 0.0000
0.0000 0.0000 14.4255
Tl Se S
4 8 4
direct
0.0000 0.0000 0.0000
0.0000 0.5000 0.2500
0.5000 0.0000 0.7500
0.5000 0.5000 0.5000
0.1477 0.2500 0.6250
0.2500 0.6477 0.8750
0.2500 0.8523 0.3750
0.3523 0.2500 0.1250
0.6477 0.7500 0.1250
0.7500 0.1477 0.3750
0.7500 0.3523 0.8750
0.8523 0.7500 0.6250
0.0000 0.0000 0.5000
0.0000 0.5000 0.7500
0.5000 0.0000 0.2500
0.5000 0.5000 0.0000
```

* calculated total energy: -51.43 eV for the cell shown